(1)
Here is crystalline CrFeRe2H at its relaxed geometry from the Alexandria database. Energies are from PBE-GGA.

Unit cell a=3.892 b=3.892 c=3.629 alpha=90.00 beta=90.00 gamma=90.00
Fractional positions:
Re: 0.000 0.500 0.000
Re: 0.500 0.000 0.000
Fe: 0.000 0.000 0.500
H: 0.000 0.000 0.000
Cr: 0.500 0.500 0.500



(2)
Here is crystalline Ti3CdN at its relaxed geometry from the Alexandria database. Energies are from PBE-GGA.

Results
- formation energy without anion corrections (meV/atom) = -747

Unit cell a=4.137 b=12.057 c=3.027 alpha=90.06 beta=90.00 gamma=90.00
Fractional positions:
Cd: 0.708 0.612 0.980
Cd: 0.208 0.990 0.478
Ti: 0.708 0.353 0.979
Ti: 0.208 0.248 0.479
Ti: 0.208 0.485 0.480
Ti: 0.708 0.117 0.978
Ti: 0.208 0.742 0.479
Ti: 0.708 0.860 0.979
N: 0.208 0.370 0.979
N: 0.708 0.232 0.479



(3)
Here is crystalline Ti3Mo7W2 at its relaxed geometry from the Alexandria database. Energies are from PBE-GGA.

Results
- formation energy from the elements (eV/atom) = 0.327

Unit cell a=4.529 b=4.354 c=10.901 alpha=101.52 beta=90.00 gamma=90.00
Fractional positions:
Ti: 0.500 0.500 0.000
Ti: 0.500 0.654 0.308
Ti: 0.500 0.346 0.692
Mo: 0.000 0.426 0.851
Mo: 0.000 0.717 0.433
Mo: 0.000 0.000 0.000
Mo: 0.000 0.574 0.149
Mo: 0.500 0.074 0.148
Mo: 0.500 0.926 0.852
Mo: 0.000 0.283 0.567
W: 0.000 0.855 0.709
W: 0.000 0.145 0.291



(4)
Here is crystalline NaPbAu2 at its relaxed geometry from the Alexandria database. Energies are from PBE-GGA.

Results
- formation energy from the elements (eV/atom) = -0.167

Unit cell a=5.022 b=5.812 c=7.820 alpha=90.00 beta=90.00 gamma=115.59
Fractional positions:
Na: 0.431 0.862 0.750
Na: 0.569 0.138 0.250
Pb: 0.879 0.758 0.250
Pb: 0.121 0.242 0.750
Au: 0.268 0.536 0.427
Au: 0.732 0.464 0.573
Au: 0.268 0.536 0.073
Au: 0.732 0.464 0.927



(5)
Here is crystalline KCr2Mo at its relaxed geometry from the Alexandria database. Energies are from PBE-GGA.

Results
- formation energy from the elements (eV/atom) = 0.791
- energy relative to the lowest polymorph listed for this composition (meV/atom) = 0

Unit cell a=3.162 b=3.162 c=8.560 alpha=90.00 beta=90.00 gamma=90.00
Fractional positions:
Cr: 0.000 0.000 0.912
Cr: 0.000 0.000 0.588
K: 0.500 0.500 0.250
Mo: 0.500 0.500 0.750



(6)
Here is crystalline CaPd2Se at its relaxed geometry from the Alexandria database. Energies are from PBE-GGA.

Results
- energy relative to the lowest polymorph listed for this composition (meV/atom) = 43
- formation energy without anion corrections (meV/atom) = -561

Unit cell a=4.721 b=4.721 c=4.721 alpha=60.00 beta=60.00 gamma=60.00
Fractional positions:
Ca: 0.000 0.000 0.000
Se: 0.500 0.500 0.500
Pd: 0.250 0.250 0.250
Pd: 0.750 0.750 0.750



(7)
Here is crystalline FeIrRu2 at its relaxed geometry from the Alexandria database. Energies are from PBE-GGA.

Results
- formation energy from the elements (eV/atom) = 0.063
- energy relative to the lowest polymorph listed for this composition (meV/atom) = 62

Unit cell a=2.691 b=3.776 c=5.317 alpha=90.00 beta=90.00 gamma=90.00
Fractional positions:
Fe: 0.500 0.500 0.250
Ir: 0.500 0.500 0.750
Ru: 0.000 0.000 0.011
Ru: 0.000 0.000 0.489



(8)
Here is crystalline Pa2Co12P7 at its relaxed geometry from the Alexandria database. Energies are from PBE-GGA.

Results
- formation energy from the elements (eV/atom) = -0.769

Unit cell a=3.615 b=9.018 c=9.018 alpha=120.00 beta=90.00 gamma=90.00
Fractional positions:
Pa: 0.500 0.000 0.000
Pa: 0.000 0.667 0.333
Co: 0.500 0.894 0.606
Co: 0.500 0.713 0.106
Co: 0.500 0.394 0.287
Co: 0.500 0.227 0.793
Co: 0.500 0.566 0.773
Co: 0.500 0.207 0.434
Co: 0.000 0.059 0.544
Co: 0.000 0.484 0.941
Co: 0.000 0.456 0.516
Co: 0.000 0.777 0.734
Co: 0.000 0.957 0.223
Co: 0.000 0.266 0.043
P: 0.000 0.333 0.667
P: 0.000 0.043 0.775
P: 0.000 0.731 0.957
P: 0.000 0.225 0.269
P: 0.500 0.626 0.563
P: 0.500 0.937 0.374
P: 0.500 0.437 0.063



(9)
Here is crystalline SiP at its relaxed geometry from the Alexandria database. Energies are from PBE-GGA.

Results
- formation energy without anion corrections (meV/atom) = 559

Unit cell a=2.841 b=2.841 c=8.431 alpha=90.00 beta=90.00 gamma=90.00
Fractional positions:
P: 0.000 0.000 0.080
P: 0.500 0.500 0.670
Si: 0.000 0.000 0.491
Si: 0.500 0.500 0.259



(10)
Here is crystalline HgIN2O at its relaxed geometry from the Alexandria database. Energies are from PBE-GGA.

Results
- formation energy without anion corrections (meV/atom) = 2192

Unit cell a=4.087 b=4.087 c=7.492 alpha=90.00 beta=90.00 gamma=90.00
Fractional positions:
I: 0.000 0.000 0.500
Hg: 0.000 0.000 0.000
O: 0.500 0.500 0.500
N: 0.000 0.500 0.000
N: 0.500 0.000 0.000



(11)
Here is crystalline PmAg2Sn at its relaxed geometry from the Alexandria database. Energies are from PBE-GGA.

Results
- formation energy from the elements (eV/atom) = -0.212
- energy relative to the lowest polymorph listed for this composition (meV/atom) = 165

Unit cell a=3.861 b=3.861 c=6.468 alpha=90.00 beta=90.00 gamma=90.00
Fractional positions:
Sn: 0.500 0.500 0.000
Ag: 0.000 0.000 0.754
Ag: 0.000 0.000 0.246
Pm: 0.500 0.500 0.500



(12)
Here is crystalline CoMoAsSe2 at its relaxed geometry from the Alexandria database. Energies are from PBE-GGA.

Results
- energy relative to the lowest polymorph listed for this composition (meV/atom) = 46
- formation energy without anion corrections (meV/atom) = 852

Unit cell a=4.910 b=4.910 c=4.888 alpha=90.00 beta=90.00 gamma=90.00
Fractional positions:
Mo: 0.000 0.000 0.000
Co: 0.500 0.500 0.500
As: 0.000 0.000 0.500
Se: 0.000 0.500 0.000
Se: 0.500 0.000 0.000



(13)
Here is crystalline CsZnCd at its relaxed geometry from the Alexandria database. Energies are from PBE-GGA.

Results
- formation energy from the elements (eV/atom) = 0.101
- energy relative to the lowest polymorph listed for this composition (meV/atom) = 86

Unit cell a=4.019 b=4.019 c=7.176 alpha=106.26 beta=106.26 gamma=90.00
Fractional positions:
Cs: 0.999 0.999 0.999
Zn: 0.282 0.282 0.565
Cd: 0.718 0.718 0.437



(14)
Here is crystalline TbPmHgAu at its relaxed geometry from the Alexandria database. Energies are from PBE-GGA.

Results
- formation energy from the elements (eV/atom) = -0.647
- energy relative to the lowest polymorph listed for this composition (meV/atom) = 0

Unit cell a=3.707 b=3.707 c=7.453 alpha=90.00 beta=90.00 gamma=90.00
Fractional positions:
Tb: 0.500 0.500 0.594
Pm: 0.500 0.500 0.116
Hg: 0.000 0.000 0.847
Au: 0.000 0.000 0.371



(15)
Here is crystalline LiPu2TiO5 at its relaxed geometry from the Alexandria database. Energies are from PBE-GGA.

Results
- formation energy without anion corrections (meV/atom) = -2716

Unit cell a=3.237 b=6.839 c=9.817 alpha=90.00 beta=90.00 gamma=103.69
Fractional positions:
Li: 0.521 0.042 0.976
Li: 0.479 0.958 0.476
Pu: 0.868 0.736 0.797
Pu: 0.110 0.220 0.695
Pu: 0.132 0.264 0.297
Pu: 0.890 0.780 0.195
Ti: 0.798 0.595 0.507
Ti: 0.202 0.405 0.007
O: 0.358 0.716 0.000
O: 0.693 0.386 0.869
O: 0.497 0.994 0.780
O: 0.284 0.567 0.648
O: 0.936 0.872 0.553
O: 0.642 0.284 0.500
O: 0.307 0.614 0.369
O: 0.503 0.006 0.280
O: 0.716 0.433 0.148
O: 0.064 0.128 0.053



(16)
Here is crystalline BaMn2ReSe at its relaxed geometry from the Alexandria database. Energies are from PBE-GGA.

Results
- formation energy without anion corrections (meV/atom) = 400

Unit cell a=4.927 b=4.991 c=4.927 alpha=90.00 beta=90.00 gamma=90.00
Fractional positions:
Re: 0.000 0.000 0.000
Mn: 0.000 0.000 0.500
Mn: 0.500 0.000 0.000
Ba: 0.500 0.500 0.500
Se: 0.000 0.500 0.000



(17)
Here is crystalline AcErScSn at its relaxed geometry from the Alexandria database. Energies are from PBE-GGA.

Results
- formation energy from the elements (eV/atom) = -0.132

Unit cell a=5.414 b=5.414 c=5.414 alpha=60.00 beta=60.00 gamma=60.00
Fractional positions:
Sc: 0.500 0.500 0.500
Ac: 0.250 0.250 0.250
Sn: 0.750 0.750 0.750
Er: 0.000 0.000 0.000



(18)
Here is crystalline Sm2Pd5Au at its relaxed geometry from the Alexandria database. Energies are from PBE-GGA.

Results
- formation energy from the elements (eV/atom) = -0.832

Unit cell a=4.243 b=5.897 c=11.790 alpha=90.00 beta=90.00 gamma=90.00
Fractional positions:
Sm: 0.500 0.266 0.630
Sm: 0.500 0.734 0.370
Sm: 0.500 0.234 0.130
Sm: 0.500 0.766 0.870
Pd: 0.000 0.000 0.000
Pd: 0.000 0.500 0.500
Pd: 0.000 0.515 0.750
Pd: 0.000 0.485 0.250
Pd: 0.000 0.985 0.250
Pd: 0.000 0.015 0.750
Pd: 0.500 0.261 0.877
Pd: 0.500 0.739 0.123
Pd: 0.500 0.239 0.377
Pd: 0.500 0.761 0.623
Au: 0.000 0.000 0.500
Au: 0.000 0.500 0.000



(19)
Here is crystalline KMgCdPb2 at its relaxed geometry from the Alexandria database. Energies are from PBE-GGA.

Results
- formation energy from the elements (eV/atom) = -0.113

Unit cell a=4.963 b=4.963 c=7.403 alpha=109.58 beta=109.58 gamma=90.00
Fractional positions:
K: 0.000 0.000 0.000
Mg: 0.750 0.250 0.500
Cd: 0.250 0.750 0.500
Pb: 0.617 0.617 0.234
Pb: 0.383 0.383 0.766



Per-record total energy, eV for the cell shown: -45.54; -73.32; -121.49; -24.50; -28.01; -18.12; -35.63; -158.29; -19.43; -12.50; -15.30; -25.29; -2.74; -15.55; -175.41; -34.19; -19.53; -90.67; -11.59
Per-record total moment, μB/f.u.: 0.87; 0.00; 0.00; 0.00; 5.54; 0.00; 1.67; 2.72; 0.00; 3.80; 0.00; 2.36; 0.00; 0.00; 10.25; 7.48; 0.01; 0.00; 0.00
Per-record calculated volume, A^3/atom: 10.99; 15.10; 17.55; 25.73; 21.39; 18.60; 13.51; 12.12; 17.01; 25.03; 24.11; 23.56; 35.48; 25.60; 11.73; 24.23; 28.06; 18.44; 32.11